This record from OQMD via LeMat-Bulk describes a relaxed Sr3Co2Cl2O4 crystal. The functional is PBE+U.

Calculated values
space-group type = I4/mmm (139)
total magnetization = 0.543 μB/atom
mass density = 4.80 g/cm³
E = -5.54 eV per atom
energy above the most stable polymorph in this dataset = 0.022 eV/f.u.

a = 11.254 Å, b = 11.254 Å, c = 11.254 Å
α = 159.28°, β = 159.28°, γ = 29.47°
Element x y z (fractional)
Sr 0.000 0.000 0.000
Sr 0.153 0.153 0.000
Sr 0.847 0.847 0.000
Co 0.418 0.418 0.000
Co 0.582 0.582 0.000
Cl 0.297 0.297 0.000
Cl 0.703 0.703 0.000
O 0.079 0.579 0.500
O 0.421 0.921 0.500
O 0.579 0.079 0.500
O 0.921 0.421 0.500